(1)
## TlTe2H (GGA-PBE)

Data for a relaxed structure of TlTe2H.

Cell: 7.688 7.688 7.688 Å, 34.57 34.57 34.57°
Element x y z (fractional)
Te 0.090 0.090 0.090
Te 0.910 0.910 0.910
H 0.000 0.000 0.000
Tl 0.500 0.500 0.500

Properties
N(E_F)   0.8 states/eV/cell
Total DFT energy (no corrections)   -11.22 eV/cell

=====

(2)
## TbSiSe4 (GGA-PBE)

Data for a relaxed structure of TbSiSe4.

Cell: 5.842 7.104 9.253 Å, 90.00 90.00 117.45°
Element x y z (fractional)
Se 0.173 0.731 0.432
Se 0.412 0.290 0.250
Se 0.827 0.269 0.932
Se 0.719 0.888 0.250
Se 0.173 0.731 0.068
Se 0.827 0.269 0.568
Se 0.281 0.112 0.750
Se 0.588 0.710 0.750
Si 0.870 0.064 0.750
Si 0.130 0.936 0.250
Tb 0.954 0.348 0.250
Tb 0.046 0.652 0.750

Properties
N(E_F)   5.5 states/eV/cell
Formation energy (no corrections)   -492.7 kJ/mol of formula units
Total DFT energy (no corrections)   -58.20 eV/cell

=====

(3)
## VHg (GGA-PBE)

Data for a relaxed structure of VHg.

Cell: 8.326 8.326 8.326 Å, 90.00 90.00 90.00°
Element x y z (fractional)
Hg 0.209 0.209 0.791
Hg 0.209 0.791 0.209
Hg 0.291 0.291 0.291
Hg 0.291 0.709 0.709
Hg 0.709 0.291 0.709
Hg 0.709 0.709 0.291
Hg 0.791 0.791 0.791
Hg 0.791 0.209 0.209
V 0.599 0.401 0.401
V 0.401 0.599 0.401
V 0.599 0.599 0.599
V 0.401 0.401 0.599
V 0.099 0.099 0.099
V 0.901 0.901 0.099
V 0.099 0.901 0.901
V 0.901 0.099 0.901

Properties
N(E_F)   11.9 states/eV/cell
Total DFT energy (no corrections)   -60.48 eV/cell
E_form   1.86 eV per formula unit

=====

> What is the formula in the first record?

TlTe2H